VASP calculation (PBE-GGA) on a relaxed Mn9Fe2N8 crystal.

As for the spin magnetization: 21.02 μB/f.u. The uncorrected formation energy is -0.192 eV per atom.

Cell and atoms, written as POSCAR:
```
Mn9Fe2N8
1.0
7.1765 -2.0452 0.0000
7.1765 2.0452 0.0000
-1.9339 0.0000 6.1813
Mn Fe N
9 2 8
Direct
0.0000 0.0000 0.0000
0.0978 0.0978 0.4708
0.1787 0.1787 0.9239
0.3540 0.3540 0.7887
0.4572 0.4572 0.2737
0.5428 0.5428 0.7263
0.6460 0.6460 0.2113
0.8213 0.8213 0.0761
0.9022 0.9022 0.5292
0.2803 0.2803 0.3197
0.7197 0.7197 0.6803
0.0435 0.0435 0.7332
0.1423 0.1423 0.2048
0.3219 0.3219 0.0694
0.4013 0.4013 0.5367
0.5987 0.5987 0.4633
0.6781 0.6781 0.9306
0.8577 0.8577 0.7952
0.9565 0.9565 0.2668
```


VASP calculation (PBE-GGA) on a relaxed Mn4Fe2N crystal.

As for the spin magnetization: 7.67 μB/f.u. The uncorrected formation energy is -0.024 eV per atom.

Cell and atoms, written as POSCAR:
```
Mn4Fe2N
1.0
0.0000 5.3077 5.3077
5.3077 0.0000 5.3077
5.3077 5.3077 0.0000
Mn Fe N
16 8 4
Direct
0.0000 0.0000 0.0000
0.0000 0.0000 0.5000
0.0000 0.5000 0.0000
0.1867 0.1867 0.5633
0.1867 0.5633 0.1867
0.1867 0.5633 0.5633
0.4367 0.4367 0.8133
0.4367 0.8133 0.4367
0.4367 0.8133 0.8133
0.5000 0.0000 0.0000
0.5633 0.1867 0.1867
0.5633 0.1867 0.5633
0.5633 0.5633 0.1867
0.8133 0.4367 0.4367
0.8133 0.4367 0.8133
0.8133 0.8133 0.4367
0.1222 0.7926 0.7926
0.2074 0.2074 0.2074
0.2074 0.2074 0.8778
0.2074 0.8778 0.2074
0.7926 0.1222 0.7926
0.7926 0.7926 0.1222
0.7926 0.7926 0.7926
0.8778 0.2074 0.2074
0.0000 0.5000 0.5000
0.5000 0.0000 0.5000
0.5000 0.5000 0.0000
0.5000 0.5000 0.5000
```


VASP calculation (PBE-GGA) on a relaxed Mn2FeN crystal.

As for the spin magnetization: 1.27 μB/f.u. The uncorrected formation energy is 0.125 eV per atom.

Cell and atoms, written as POSCAR:
```
Mn2FeN
1.0
-3.1151 3.1151 2.0684
3.1151 -3.1151 2.0684
3.1151 3.1151 -2.0684
Mn Fe N
4 2 2
Direct
0.0233 0.1250 0.3983
0.3750 0.9767 0.1017
0.7267 0.6250 0.6017
0.8750 0.2733 0.8983
0.2500 0.7500 0.5000
0.5000 0.5000 0.0000
0.0000 0.0000 0.0000
0.7500 0.2500 0.5000
```


VASP calculation (PBE-GGA) on a relaxed MnFeN2 crystal.

As for the spin magnetization: 1.04 μB/f.u. The uncorrected formation energy is -0.212 eV per atom.

Cell and atoms, written as POSCAR:
```
MnFeN2
1.0
-2.1335 2.1335 4.2589
2.1335 -2.1335 4.2589
2.1335 2.1335 -4.2589
Mn Fe N
2 2 4
Direct
0.0000 0.0000 0.0000
0.7500 0.2500 0.5000
0.2500 0.7500 0.5000
0.5000 0.5000 0.0000
0.1262 0.6250 0.0012
0.3750 0.3762 0.5012
0.6238 0.1250 0.9988
0.8750 0.8738 0.4988
```


VASP calculation (PBE-GGA) on a relaxed Mn3FeN crystal.

As for the spin magnetization: 0.67 μB/f.u. The uncorrected formation energy is -0.114 eV per atom.

Cell and atoms, written as POSCAR:
```
Mn3FeN
1.0
2.6024 -5.2016 0.0000
2.6024 5.2016 0.0000
0.0000 0.0000 3.7865
Mn Fe N
6 2 2
Direct
0.0000 0.5000 0.5000
0.1308 0.8692 0.0000
0.2781 0.2781 0.5000
0.5000 0.0000 0.5000
0.7219 0.7219 0.5000
0.8692 0.1308 0.0000
0.3843 0.6157 0.0000
0.6157 0.3843 0.0000
0.1206 0.8794 0.5000
0.8794 0.1206 0.5000
```


VASP calculation (PBE-GGA) on a relaxed Mn3Fe3N crystal.

As for the spin magnetization: 13.18 μB/f.u. The uncorrected formation energy is -0.005 eV per atom.

Cell and atoms, written as POSCAR:
```
Mn3Fe3N
1.0
0.0000 5.3485 5.3485
5.3485 0.0000 5.3485
5.3485 5.3485 0.0000
Mn Fe N
12 12 4
Direct
0.0620 0.0620 0.6880
0.0620 0.6880 0.0620
0.0620 0.6880 0.6880
0.3120 0.3120 0.9380
0.3120 0.9380 0.3120
0.3120 0.9380 0.9380
0.6880 0.0620 0.0620
0.6880 0.0620 0.6880
0.6880 0.6880 0.0620
0.9380 0.3120 0.3120
0.9380 0.3120 0.9380
0.9380 0.9380 0.3120
0.0000 0.5000 0.5000
0.2914 0.2914 0.2914
0.2914 0.2914 0.6258
0.2914 0.6258 0.2914
0.3742 0.7086 0.7086
0.5000 0.0000 0.5000
0.5000 0.5000 0.0000
0.5000 0.5000 0.5000
0.6258 0.2914 0.2914
0.7086 0.3742 0.7086
0.7086 0.7086 0.3742
0.7086 0.7086 0.7086
0.0000 0.0000 0.0000
0.0000 0.0000 0.5000
0.0000 0.5000 0.0000
0.5000 0.0000 0.0000
```


VASP calculation (PBE-GGA) on a relaxed Mn2FeN crystal.

As for the spin magnetization: 7.70 μB/f.u. The uncorrected formation energy is 0.199 eV per atom.

Cell and atoms, written as POSCAR:
```
Mn2FeN
1.0
1.3699 0.7909 7.1446
-1.3699 0.7909 7.1446
0.0000 -1.5818 7.1446
Mn Fe N
2 1 1
Direct
0.1133 0.1133 0.1133
0.8867 0.8867 0.8867
0.0000 0.0000 0.0000
0.5000 0.5000 0.5000
```


VASP calculation (PBE-GGA) on a relaxed Mn3Fe3N5 crystal.

As for the spin magnetization: 2.43 μB/f.u. The uncorrected formation energy is -0.054 eV per atom.

Cell and atoms, written as POSCAR:
```
Mn3Fe3N5
1.0
5.0961 0.0000 0.0000
-0.5295 5.8883 0.0000
-1.4481 -1.0081 6.9699
Mn Fe N
6 6 10
Direct
0.0958 0.4790 0.3404
0.2190 0.2422 0.0471
0.2527 0.8625 0.7957
0.7473 0.1375 0.2043
0.7810 0.7578 0.9529
0.9042 0.5210 0.6596
0.2798 0.8659 0.1828
0.3749 0.4203 0.7783
0.4546 0.1948 0.4539
0.5454 0.8052 0.5461
0.6251 0.5797 0.2217
0.7202 0.1341 0.8172
0.0148 0.3446 0.8412
0.1266 0.1443 0.2652
0.2551 0.6092 0.5919
0.3675 0.1030 0.6698
0.4379 0.7103 0.9887
0.5621 0.2897 0.0113
0.6325 0.8970 0.3302
0.7449 0.3908 0.4081
0.8734 0.8557 0.7348
0.9852 0.6554 0.1588
```


Number 1: electronic total energy -8.931 eV per atom. Number 2: electronic total energy -8.871 eV per atom. Number 3: electronic total energy -8.657 eV per atom. Number 4: electronic total energy -8.782 eV per atom. Number 5: electronic total energy -8.973 eV per atom. Number 6: electronic total energy -8.751 eV per atom. Number 7: electronic total energy -8.583 eV per atom. Number 8: electronic total energy -8.647 eV per atom.